This record from the Alexandria database describes an optimized crystal structure of SrBrCl. The functional is PBE.

Energy relative to the elements, uncorrected   -2.3007 eV/atom
DOS at the Fermi energy   0.00 states/eV/cell

a = 4.7013 Å, b = 5.8681 Å, c = 14.7076 Å
α = 90.00°, β = 90.00°, γ = 90.00°
Atoms (fractional coordinates):
Br (0.2500, 0.5672, 0.7184)
Br (0.2500, 0.9328, 0.2184)
Br (0.7500, 0.4328, 0.2816)
Br (0.7500, 0.0672, 0.7816)
Cl (0.7500, 0.2190, 0.5315)
Cl (0.2500, 0.7810, 0.4685)
Cl (0.2500, 0.7190, 0.9685)
Cl (0.7500, 0.2810, 0.0315)
Sr (0.2500, 0.4300, 0.1324)
Sr (0.7500, 0.5700, 0.8676)
Sr (0.2500, 0.0700, 0.6324)
Sr (0.7500, 0.9300, 0.3676)

This record from the Alexandria database describes an optimized crystal structure of Tl2Cd3Hg4. The functional is PBE.

DOS at the Fermi energy   3.11 states/eV/cell
Polymorph energy (0 for the lowest one)   0 meV per atom
ΔH_f (0 K)   0.011 eV per atom

a = 7.8172 Å, b = 8.3123 Å, c = 10.1756 Å
α = 36.02°, β = 46.66°, γ = 38.42°
Atoms (fractional coordinates):
Hg (0.9842, 0.9821, 0.3353)
Hg (0.6413, 0.6780, 0.8852)
Hg (0.3587, 0.3220, 0.1148)
Hg (0.0158, 0.0179, 0.6647)
Cd (0.0000, 0.0000, 0.0000)
Cd (0.6720, 0.6692, 0.5583)
Cd (0.3280, 0.3308, 0.4417)
Tl (0.6905, 0.6413, 0.2218)
Tl (0.3095, 0.3587, 0.7782)

This record from the Alexandria database describes an optimized crystal structure of Rb4Tb3CrSe8. The functional is PBE.

Energy relative to the elements, uncorrected   -1.4599 eV/atom

a = 8.3433 Å, b = 9.3189 Å, c = 8.3440 Å
α = 116.61°, β = 120.00°, γ = 90.00°
Each line ends with the local moment (μB).
Atoms (fractional coordinates):
Se (0.7514, 0.6873, 0.9694)  -0.04
Se (0.2180, 0.6873, 0.4360)  -0.04
Se (0.2486, 0.3127, 0.0306)  -0.04
Se (0.7820, 0.3127, 0.5640)  -0.04
Se (0.7331, 0.6991, 0.4661)  0.00
Se (0.2669, 0.3009, 0.5339)  0.00
Se (0.2180, 0.6873, 0.9694)  -0.04
Se (0.7820, 0.3127, 0.0306)  -0.04
Tb (0.5000, 0.5000, 0.0000)  0.01
Tb (0.5000, 0.5000, 0.5000)  0.01
Tb (0.0000, 0.5000, 0.5000)  0.01
Rb (0.5000, 0.0000, 0.5000)  0.00
Rb (0.0000, 0.0000, 0.0000)  0.00
Rb (0.0000, 0.0000, 0.5000)  0.00
Rb (0.5000, 0.0000, 0.0000)  -0.01
Cr (0.0000, 0.5000, 0.0000)  3.08

This record from the Alexandria database describes an optimized crystal structure of BaSbI3. The functional is PBE.

Energy relative to the elements, uncorrected   -0.5804 eV/atom
DOS at the Fermi energy   2.59 states/eV/cell
Polymorph energy (0 for the lowest one)   0 meV per atom

a = 6.1757 Å, b = 6.1757 Å, c = 6.1757 Å
α = 90.00°, β = 90.00°, γ = 90.00°
Atoms (fractional coordinates):
Sb (0.0000, 0.0000, 0.0000)
Ba (0.5000, 0.5000, 0.5000)
I (0.5000, 0.0000, 0.0000)
I (0.0000, 0.5000, 0.0000)
I (0.0000, 0.0000, 0.5000)

This record from the Alexandria database describes an optimized crystal structure of Ca2AcAg. The functional is PBE.

DOS at the Fermi energy   3.53 states/eV/cell
Polymorph energy (0 for the lowest one)   85 meV per atom
ΔH_f (0 K)   -0.059 eV per atom

a = 3.9493 Å, b = 3.9493 Å, c = 11.0431 Å
α = 79.70°, β = 79.70°, γ = 60.00°
Atoms (fractional coordinates):
Ca (0.2690, 0.2690, 0.1931)
Ca (0.0642, 0.0642, 0.8073)
Ac (0.5004, 0.5004, 0.4988)
Ag (0.6664, 0.6664, 0.0008)

This record from the Alexandria database describes an optimized crystal structure of Nd7Dy12Er. The functional is PBE.

DOS at the Fermi energy   36.52 states/eV/cell
Polymorph energy (0 for the lowest one)   0 meV per atom
ΔH_f (0 K)   0.230 eV per atom

a = 8.7997 Å, b = 8.7997 Å, c = 8.7997 Å
α = 85.99°, β = 85.99°, γ = 85.99°
Atoms (fractional coordinates):
Dy (0.2501, 0.7278, 0.8546)
Dy (0.4969, 0.6158, 0.1352)
Dy (0.7499, 0.2722, 0.1454)
Dy (0.1454, 0.7499, 0.2722)
Dy (0.8648, 0.5031, 0.3842)
Dy (0.1352, 0.4969, 0.6158)
Dy (0.2722, 0.1454, 0.7499)
Dy (0.5031, 0.3842, 0.8648)
Dy (0.3842, 0.8648, 0.5031)
Dy (0.8546, 0.2501, 0.7278)
Dy (0.6158, 0.1352, 0.4969)
Dy (0.7278, 0.8546, 0.2501)
Nd (0.8452, 0.6011, 0.9188)
Nd (0.9188, 0.8452, 0.6011)
Nd (0.6011, 0.9188, 0.8452)
Nd (0.1548, 0.3989, 0.0812)
Nd (0.3989, 0.0812, 0.1548)
Nd (0.0812, 0.1548, 0.3989)
Nd (0.5000, 0.5000, 0.5000)
Er (0.0000, 0.0000, 0.0000)

This record from the Alexandria database describes an optimized crystal structure of CrB6N6. The functional is PBE.

Energy relative to the elements, uncorrected   -0.2665 eV/atom
DOS at the Fermi energy   2.27 states/eV/cell

a = 4.5589 Å, b = 4.5589 Å, c = 4.5589 Å
α = 90.00°, β = 90.00°, γ = 90.00°
Each line ends with the local moment (μB).
Atoms (fractional coordinates):
B (0.5000, 0.2565, 0.0000)  0.01
B (0.0000, 0.5000, 0.7435)  0.01
B (0.5000, 0.7435, 0.0000)  0.01
B (0.7435, 0.0000, 0.5000)  0.01
B (0.2565, 0.0000, 0.5000)  0.01
B (0.0000, 0.5000, 0.2565)  0.01
N (0.5000, 0.0000, 0.7520)  0.03
N (0.2480, 0.5000, 0.0000)  0.03
N (0.5000, 0.0000, 0.2480)  0.03
N (0.0000, 0.2480, 0.5000)  0.03
N (0.7520, 0.5000, 0.0000)  0.03
N (0.0000, 0.7520, 0.5000)  0.03
Cr (0.5000, 0.5000, 0.5000)  3.94

This record from the Alexandria database describes an optimized crystal structure of Co2NiW. The functional is PBE.

DOS at the Fermi energy   4.78 states/eV/cell
Polymorph energy (0 for the lowest one)   167 meV per atom
ΔH_f (0 K)   0.125 eV per atom

a = 4.3944 Å, b = 4.3944 Å, c = 2.6382 Å
α = 90.00°, β = 90.00°, γ = 108.02°
Each line ends with the local moment (μB).
Atoms (fractional coordinates):
Co (0.5000, 0.5000, 0.0000)  0.70
Co (0.0000, 0.0000, 0.0000)  0.70
Ni (0.5000, 0.0000, 0.5000)  0.40
W (0.0000, 0.5000, 0.5000)  -0.09